Below is a relaxed structure of CaWO3, with properties calculated at the PBE+U level.

a b c (Å): 2.949 5.936 9.867
angles (deg): 90.00 90.00 90.00
Space group Amm2 (No. 38)
Inequivalent atoms, fractional coordinates:
Ca 0.000 0.000 0.000 [2 per cell]
W 0.000 0.000 0.662 [2 per cell]
O 0.500 0.000 0.817 [2 per cell]
O 0.500 0.230 0.594 [4 per cell]

## Properties
VASP energy (eV for the cell shown): -69.96